Entry from Alexandria: a geometry-optimized BaSbP2 structure (PBE).

Mass density, Mg/m³: 5.00
ΔE_f (raw), eV/atom: -0.345

```
data_BaSbP2
_cell_length_a 10.5295
_cell_length_b 3.7848
_cell_length_c 5.6514
_cell_angle_alpha 90.00
_cell_angle_beta 108.88
_cell_angle_gamma 90.00
_space_group_name_H-M_alt 'C 1 m 1'
_space_group_IT_number 8
loop_
_space_group_symop_operation_xyz
'x,y,z'
'x,-y,z'
'x+1/2,y+1/2,z'
'x+1/2,-y+1/2,z'
loop_
_atom_site_label
_atom_site_type_symbol
_atom_site_fract_x
_atom_site_fract_y
_atom_site_fract_z
_atom_site_occupancy
Ba1 Ba 0.0000 0.0000 0.0000 1
Sb1 Sb 0.2123 0.0000 0.6124 1
P1 P 0.0003 0.5000 0.4998 1
P2 P 0.3192 0.5000 0.3951 1
```